1.
Computed, not measured: an optimized crystal structure of Tb5SmEr at the PBE level of DFT.

The calculation puts the formation energy at 0.19 eV per atom. The value obtained for the offset from the most stable computed form is 0 meV per atom.

POSCAR file:
```
Tb5SmEr
1.0
5.867 -3.370 0.000
5.867 3.370 0.000
-4.391 0.000 11.452
Tb Sm Er
10 2 2
direct
0.086 0.350 0.744
0.089 0.911 0.750
0.156 0.684 0.999
0.316 0.844 0.501
0.350 0.086 0.244
0.650 0.914 0.756
0.684 0.156 0.499
0.844 0.316 0.001
0.911 0.089 0.250
0.914 0.650 0.256
0.470 0.530 0.250
0.530 0.470 0.750
0.000 0.500 0.500
0.500 0.000 0.000
```

---

2.
Computed, not measured: an optimized crystal structure of V2CuSn2 at the PBE level of DFT.

The calculation puts the formation energy at 0.20 eV per atom. The value obtained for the offset from the most stable computed form is 0 meV per atom.

POSCAR file:
```
V2CuSn2
1.0
6.551 0.000 0.000
0.000 6.551 0.000
0.000 0.000 4.114
V Cu Sn
4 2 4
direct
0.127 0.373 0.000
0.373 0.873 0.000
0.627 0.127 0.000
0.873 0.627 0.000
0.000 0.000 0.000
0.500 0.500 0.000
0.174 0.674 0.500
0.326 0.174 0.500
0.674 0.826 0.500
0.826 0.326 0.500
```

---

3.
Computed, not measured: an optimized crystal structure of LiPuZr2As4 at the PBE level of DFT.

The calculation puts the formation energy at -0.96 eV per atom.

POSCAR file:
```
LiPuZr2As4
1.0
6.663 0.000 0.000
0.000 3.906 0.000
-2.201 0.000 6.680
Li Pu Zr As
1 1 2 4
direct
0.000 0.000 0.000
0.500 0.500 0.000
0.000 0.500 0.500
0.500 0.000 0.500
0.241 0.000 0.740
0.250 0.500 0.260
0.750 0.500 0.740
0.759 0.000 0.260
```

---

4.
Computed, not measured: an optimized crystal structure of ZrTeBr2 at the PBE level of DFT.

The value obtained for the offset from the most stable computed form is 288 meV per atom. The formation energy without anion corrections is -3.2 eV per formula unit.

POSCAR file:
```
ZrTeBr2
1.0
-1.666 2.737 7.296
1.666 -2.737 7.296
1.666 2.737 -7.296
Zr Te Br
1 1 2
direct
0.000 0.000 0.000
0.500 0.500 0.000
0.151 0.651 0.500
0.849 0.349 0.500
```

---

5.
Computed, not measured: an optimized crystal structure of HgTe2Se at the PBE level of DFT.

The value obtained for the offset from the most stable computed form is 54 meV per atom. The formation energy without anion corrections is 0.2 eV per formula unit.

POSCAR file:
```
HgTe2Se
1.0
-2.081 2.415 7.529
2.081 -2.415 7.529
2.081 2.415 -7.529
Hg Te Se
1 2 1
direct
0.000 0.000 0.000
0.252 0.252 0.000
0.392 0.892 0.500
0.122 0.622 0.500
```

---

6.
Computed, not measured: an optimized crystal structure of YV2CoAu at the PBE level of DFT.

The calculation puts the formation energy at 1.37 eV per atom.

POSCAR file:
```
YV2CoAu
1.0
4.845 0.000 0.000
0.000 4.845 0.000
0.000 0.000 5.385
Y V Co Au
1 2 1 1
direct
0.000 0.000 0.000
0.000 0.500 0.500
0.500 0.000 0.500
0.500 0.500 0.000
0.000 0.000 0.500
```